Record 1
The following is a GGA-PBE calculation of an optimized crystal structure of KSmBi2, from Alexandria via LeMat-Bulk.

Structure (CIF):
```
data_KSmBi2
_chemical_formula_sum 'K3 Sm3 Bi6'
_cell_length_a 4.5295
_cell_length_b 4.5295
_cell_length_c 26.6840
_cell_angle_alpha 90.00
_cell_angle_beta 90.00
_cell_angle_gamma 120.00
_space_group_name_H-M_alt 'R 3 m'
_space_group_IT_number 160
_space_group_name_Hall 'R 3 -2"'
loop_
_atom_site_label
_atom_site_type_symbol
_atom_site_fract_x
_atom_site_fract_y
_atom_site_fract_z
K1 K 0.0000 0.0000 0.0000
Sm1 Sm 0.0000 0.0000 0.8307
Bi1 Bi 0.0000 0.0000 0.2345
Bi2 Bi 0.0000 0.0000 0.4283
```

Summary:
Formation energy ... -0.3873 eV per atom

Record 2
The following is a GGA-PBE calculation of an optimized crystal structure of KSmBi2, from Alexandria via LeMat-Bulk.

Structure (CIF):
```
data_KSmBi2
_chemical_formula_sum 'K1 Sm1 Bi2'
_cell_length_a 4.2613
_cell_length_b 4.2613
_cell_length_c 7.8111
_cell_angle_alpha 90.00
_cell_angle_beta 90.00
_cell_angle_gamma 90.00
_space_group_name_H-M_alt 'P 4/m m m'
_space_group_IT_number 123
_space_group_name_Hall '-P 4 2'
loop_
_atom_site_label
_atom_site_type_symbol
_atom_site_fract_x
_atom_site_fract_y
_atom_site_fract_z
K1 K 0.0000 0.0000 0.0000
Sm1 Sm 0.0000 0.0000 0.5000
Bi1 Bi 0.5000 0.5000 0.2981
```

Summary:
Formation energy ... -0.5449 eV per atom

Record 3
The following is a GGA-PBE calculation of an optimized crystal structure of K3Sm3BiTe8, from Alexandria via LeMat-Bulk.

Structure (CIF):
```
data_K3Sm3BiTe8
_chemical_formula_sum 'K6 Sm6 Bi2 Te16'
_cell_length_a 15.6033
_cell_length_b 8.9798
_cell_length_c 9.9492
_cell_angle_alpha 90.00
_cell_angle_beta 121.63
_cell_angle_gamma 90.00
_space_group_name_H-M_alt 'C 1 2/m 1'
_space_group_IT_number 12
loop_
_space_group_symop_operation_xyz
'x,y,z'
'-x,-y,-z'
'-x,y,-z'
'x,-y,z'
'x+1/2,y+1/2,z'
'-x+1/2,-y+1/2,-z'
'-x+1/2,y+1/2,-z'
'x+1/2,-y+1/2,z'
loop_
_atom_site_label
_atom_site_type_symbol
_atom_site_fract_x
_atom_site_fract_y
_atom_site_fract_z
K1 K 0.0000 0.0000 0.0000
K2 K 0.2500 0.2500 0.0000
Sm1 Sm 0.0000 0.5000 0.5000
Sm2 Sm 0.2500 0.2500 0.5000
Bi1 Bi 0.0000 0.0000 0.5000
Te1 Te 0.0137 0.2526 0.2888
Te2 Te 0.2378 0.5000 0.7134
Te3 Te 0.2390 0.0000 0.7115
```

Summary:
Formation energy (no corrections) ... -1.12 eV/atom

Record 4
The following is a GGA-PBE calculation of an optimized crystal structure of K4Sm3BiTe8, from Alexandria via LeMat-Bulk.

Structure (CIF):
```
data_K4Sm3BiTe8
_chemical_formula_sum 'K12 Sm9 Bi3 Te24'
_cell_length_a 9.1703
_cell_length_b 9.1703
_cell_length_c 24.7671
_cell_angle_alpha 90.00
_cell_angle_beta 90.00
_cell_angle_gamma 120.00
_space_group_name_H-M_alt 'R -3 m'
_space_group_IT_number 166
_space_group_name_Hall '-R 3 2"'
loop_
_atom_site_label
_atom_site_type_symbol
_atom_site_fract_x
_atom_site_fract_y
_atom_site_fract_z
K1 K 0.0000 0.0000 0.0000
K2 K 0.0000 0.5000 0.0000
Sm1 Sm 0.0000 0.5000 0.5000
Bi1 Bi 0.0000 0.0000 0.5000
Te1 Te 0.0000 0.0000 0.2373
Te2 Te 0.0006 0.5003 0.7627
```

Summary:
Formation energy (no corrections) ... -1.21 eV/atom

Record 5
The following is a GGA-PBE calculation of an optimized crystal structure of K2SmBiTe4, from Alexandria via LeMat-Bulk.

Structure (CIF):
```
data_K2SmBiTe4
_chemical_formula_sum 'K2 Sm1 Bi1 Te4'
_cell_length_a 7.9903
_cell_length_b 4.5685
_cell_length_c 8.6721
_cell_angle_alpha 90.00
_cell_angle_beta 107.55
_cell_angle_gamma 90.00
_space_group_name_H-M_alt 'P 1 2/m 1'
_space_group_IT_number 10
loop_
_space_group_symop_operation_xyz
'x,y,z'
'-x,-y,-z'
'-x,y,-z'
'x,-y,z'
loop_
_atom_site_label
_atom_site_type_symbol
_atom_site_fract_x
_atom_site_fract_y
_atom_site_fract_z
K1 K 0.0000 0.0000 0.0000
K2 K 0.5000 0.5000 0.0000
Sm1 Sm 0.0000 0.5000 0.5000
Bi1 Bi 0.5000 0.0000 0.5000
Te1 Te 0.2365 0.0000 0.7115
Te2 Te 0.2619 0.5000 0.2882
```

Summary:
Formation energy (no corrections) ... -1.01 eV/atom

Record 6
The following is a GGA-PBE calculation of an optimized crystal structure of KSn3Bi3, from Alexandria via LeMat-Bulk.

Structure (CIF):
```
data_KSn3Bi3
_chemical_formula_sum 'K6 Sn18 Bi18'
_cell_length_a 9.1855
_cell_length_b 9.1855
_cell_length_c 22.5884
_cell_angle_alpha 90.00
_cell_angle_beta 90.00
_cell_angle_gamma 120.00
_space_group_name_H-M_alt 'R -3'
_space_group_IT_number 148
_space_group_name_Hall '-R 3'
loop_
_atom_site_label
_atom_site_type_symbol
_atom_site_fract_x
_atom_site_fract_y
_atom_site_fract_z
K1 K 0.0000 0.0000 0.1671
Sn1 Sn 0.0008 0.3408 0.3832
Bi1 Bi 0.0012 0.3224 0.5826
```

Summary:
Formation energy ... -0.0533 eV per atom

no.,calculated total energy (eV per formula unit),Fermi-level density of states (states/eV per cell)
1,-15.128,11.5
2,-15.758,2.5
3,-63.234,21.7
4,-66.945,0.0
5,-31.468,0.0
6,-25.122,11.8